KAlIrO6 | PBE | optimized geometry

Lattice parameters (Å, degrees): 5.0937 5.0937 6.0550 90.00 90.00 120.00
Space group P312 (No. 149)
Unique sites:
K (0.0000, 0.0000, 0.0000) [1 per cell]
Al (0.3333, 0.6667, 0.5000) [1 per cell]
Ir (0.6667, 0.3333, 0.5000) [1 per cell]
O (0.3895, 0.0024, 0.6761) [6 per cell]

Properties
DOS(E_F): 4.8 states/eV/cell
Energy relative to the elements, uncorrected: -11.855 eV per formula unit

=====

KAlIr2Pd | PBE | optimized geometry

Lattice parameters (Å, degrees): 4.651 4.651 4.797 90.00 90.00 90.00
Space group P4/mmm (No. 123)
Unique sites:
K (0.000, 0.000, 0.000) [1 per cell]
Al (0.500, 0.500, 0.500) [1 per cell]
Ir (0.000, 0.500, 0.500) [2 per cell]
Pd (0.500, 0.500, 0.000) [1 per cell]

Properties
DFT formation energy: 0.6854 eV/atom
DOS(E_F): 6.9 states/eV/cell

=====

KAlIrPt2 | PBE | optimized geometry

Lattice parameters (Å, degrees): 4.733 4.733 4.647 90.00 90.00 90.00
Space group P4/mmm (No. 123)
Unique sites:
K (0.000, 0.000, 0.000) [1 per cell]
Al (0.500, 0.500, 0.500) [1 per cell]
Ir (0.500, 0.500, 0.000) [1 per cell]
Pt (0.000, 0.500, 0.500) [2 per cell]

Properties
DFT formation energy: 0.4093 eV/atom
DOS(E_F): 6.3 states/eV/cell

=====

KScAlIr2 | PBE | optimized geometry

Lattice parameters (Å, degrees): 4.857 4.857 5.342 90.00 90.00 90.00
Space group P4/mmm (No. 123)
Unique sites:
K (0.000, 0.000, 0.000) [1 per cell]
Sc (0.500, 0.500, 0.500) [1 per cell]
Al (0.500, 0.500, 0.000) [1 per cell]
Ir (0.000, 0.500, 0.500) [2 per cell]

Properties
DFT formation energy: 0.8778 eV/atom
DOS(E_F): 3.2 states/eV/cell

=====

KAl2SnIr | PBE | optimized geometry

Lattice parameters (Å, degrees): 4.848 4.848 5.322 90.00 90.00 90.00
Space group P4/mmm (No. 123)
Unique sites:
K (0.000, 0.000, 0.000) [1 per cell]
Al (0.000, 0.500, 0.500) [2 per cell]
Sn (0.500, 0.500, 0.000) [1 per cell]
Ir (0.500, 0.500, 0.500) [1 per cell]

Properties
DFT formation energy: -0.1118 eV/atom
DOS(E_F): 2.7 states/eV/cell

=====

KSr2AlIr | PBE | optimized geometry

Lattice parameters (Å, degrees): 5.987 5.987 4.937 90.00 90.00 90.00
Space group P4/mmm (No. 123)
Unique sites:
K (0.000, 0.000, 0.000) [1 per cell]
Sr (0.000, 0.500, 0.500) [2 per cell]
Al (0.500, 0.500, 0.000) [1 per cell]
Ir (0.500, 0.500, 0.500) [1 per cell]

Properties
DFT formation energy: -0.1476 eV/atom
DOS(E_F): 2.6 states/eV/cell

=====

LaAl2Ir | PBE | optimized geometry

Lattice parameters (Å, degrees): 3.255 3.255 7.389 90.00 90.00 90.00
Space group P4mm (No. 99)
Unique sites:
La (0.000, 0.000, 0.000) [1 per cell]
Al (0.000, 0.000, 0.546) [1 per cell]
Al (0.500, 0.500, 0.327) [1 per cell]
Ir (0.500, 0.500, 0.702) [1 per cell]

Properties
DFT formation energy: -0.5015 eV/atom
DOS(E_F): 1.8 states/eV/cell

=====

La3Al6Ir5 | PBE | optimized geometry

Lattice parameters (Å, degrees): 4.183 12.920 9.832 90.00 90.00 90.00
Space group Pmmn (No. 59, origin choice 2)
Unique sites:
La (0.250, 0.056, 0.246) [4 per cell]
La (0.250, 0.750, 0.271) [2 per cell]
Al (0.250, 0.064, 0.576) [4 per cell]
Al (0.250, 0.250, 0.033) [2 per cell]
Al (0.250, 0.250, 0.429) [2 per cell]
Al (0.250, 0.598, 0.986) [4 per cell]
Ir (0.250, 0.094, 0.868) [4 per cell]
Ir (0.250, 0.638, 0.544) [4 per cell]
Ir (0.250, 0.750, 0.802) [2 per cell]

Properties
DFT formation energy: -0.8226 eV/atom
DOS(E_F): 17.3 states/eV/cell

=====

La2Al3Ir | PBE | optimized geometry

Lattice parameters (Å, degrees): 5.6296 5.6296 13.6680 90.00 90.00 120.00
Space group R-3m (No. 166, hexagonal axes)
Unique sites:
La (0.0000, 0.0000, 0.1266) [6 per cell]
Al (0.0000, 0.5000, 0.0000) [9 per cell]
Ir (0.0000, 0.0000, 0.5000) [3 per cell]

Properties
DFT formation energy: -0.6266 eV/atom
DOS(E_F): 8.3 states/eV/cell

=====

LaAl2Ir | PBE | optimized geometry

Lattice parameters (Å, degrees): 6.708 6.708 6.708 90.00 90.00 90.00
Space group Fm-3m (No. 225)
Unique sites:
La (0.000, 0.000, 0.000) [4 per cell]
Al (0.250, 0.250, 0.250) [8 per cell]
Ir (0.000, 0.000, 0.500) [4 per cell]

Properties
DFT formation energy: -0.4124 eV/atom
DOS(E_F): 3.9 states/eV/cell

=====

La2Al7Ir | PBE | optimized geometry

Lattice parameters (Å, degrees): 4.281 4.281 11.152 90.00 90.00 90.00
Space group P-4m2 (No. 115)
Unique sites:
La (0.000, 0.500, 0.248) [2 per cell]
Al (0.000, 0.000, 0.000) [1 per cell]
Al (0.000, 0.000, 0.500) [1 per cell]
Al (0.000, 0.500, 0.643) [2 per cell]
Al (0.000, 0.500, 0.876) [2 per cell]
Al (0.500, 0.500, 0.500) [1 per cell]
Ir (0.500, 0.500, 0.000) [1 per cell]

Properties
DFT formation energy: -0.5099 eV/atom
DOS(E_F): 3.7 states/eV/cell

=====

LaAl2Ir | PBE | optimized geometry

Lattice parameters (Å, degrees): 4.995 4.995 16.372 90.00 90.00 90.00
Space group I-42d (No. 122)
Unique sites:
La (0.000, 0.000, 0.000) [4 per cell]
Al (0.001, 0.750, 0.625) [8 per cell]
Ir (0.000, 0.000, 0.500) [4 per cell]

Properties
DFT formation energy: -0.3019 eV/atom
DOS(E_F): 13.9 states/eV/cell

=====

La2AlIr | PBE | optimized geometry

Lattice parameters (Å, degrees): 4.169 4.391 6.206 90.00 109.48 90.00
Space group Pm (No. 6)
Unique sites:
La (0.000, 0.000, 0.000) [1 per cell]
La (0.276, 0.500, 0.555) [1 per cell]
Al (0.576, 0.500, 0.153) [1 per cell]
Ir (0.690, 0.000, 0.384) [1 per cell]

Properties
DFT formation energy: -0.5641 eV/atom
DOS(E_F): 3.9 states/eV/cell

=====

LaAl2Ir | PBE | optimized geometry

Lattice parameters (Å, degrees): 4.131 4.131 4.769 90.00 90.00 90.00
Space group P4/mmm (No. 123)
Unique sites:
La (0.000, 0.000, 0.000) [1 per cell]
Al (0.000, 0.500, 0.500) [2 per cell]
Ir (0.500, 0.500, 0.000) [1 per cell]

Properties
DFT formation energy: -0.2953 eV/atom
DOS(E_F): 3.0 states/eV/cell

=====

LaAl2Ir | PBE | optimized geometry

Lattice parameters (Å, degrees): 4.645 5.364 6.778 90.00 90.00 90.00
Space group Imm2 (No. 44)
Unique sites:
La (0.000, 0.000, 0.000) [2 per cell]
Al (0.000, 0.000, 0.524) [2 per cell]
Al (0.000, 0.500, 0.798) [2 per cell]
Ir (0.000, 0.500, 0.180) [2 per cell]

Properties
DFT formation energy: -0.3686 eV/atom
DOS(E_F): 5.3 states/eV/cell

=====

LaAl3Ir2 | PBE | optimized geometry

Lattice parameters (Å, degrees): 16.603 4.171 10.105 90.00 106.28 90.00
Space group C2/m (No. 12)
Unique sites:
La (0.000, 0.000, 0.000) [2 per cell]
La (0.162, 0.000, 0.711) [4 per cell]
Al (0.000, 0.500, 0.500) [2 per cell]
Al (0.047, 0.000, 0.349) [4 per cell]
Al (0.130, 0.500, 0.209) [4 per cell]
Al (0.175, 0.500, 0.967) [4 per cell]
Al (0.216, 0.000, 0.396) [4 per cell]
Ir (0.026, 0.500, 0.775) [4 per cell]
Ir (0.137, 0.500, 0.453) [4 per cell]
Ir (0.192, 0.000, 0.127) [4 per cell]

Properties
DFT formation energy: -0.8305 eV/atom
DOS(E_F): 18.3 states/eV/cell

=====

LaAl2Ir | PBE | optimized geometry

Lattice parameters (Å, degrees): 7.376 4.256 6.015 90.00 114.00 90.00
Space group C2/m (No. 12)
Unique sites:
La (0.000, 0.000, 0.000) [2 per cell]
Al (0.204, 0.000, 0.614) [4 per cell]
Ir (0.000, 0.500, 0.500) [2 per cell]

Properties
DFT formation energy: -0.7246 eV/atom
DOS(E_F): 6.7 states/eV/cell

=====

La2AlIr | PBE | optimized geometry

Lattice parameters (Å, degrees): 3.755 3.755 7.132 90.00 90.00 90.00
Space group P4/mmm (No. 123)
Unique sites:
La (0.000, 0.000, 0.229) [2 per cell]
Al (0.500, 0.500, 0.500) [1 per cell]
Ir (0.500, 0.500, 0.000) [1 per cell]

Properties
DFT formation energy: -0.4755 eV/atom
DOS(E_F): 2.4 states/eV/cell

=====

La3AlIr | PBE | optimized geometry

Lattice parameters (Å, degrees): 5.570 5.570 5.570 90.00 90.00 90.00
Space group Pm-3m (No. 221)
Unique sites:
La (0.000, 0.000, 0.500) [3 per cell]
Al (0.500, 0.500, 0.500) [1 per cell]
Ir (0.000, 0.000, 0.000) [1 per cell]

Properties
DFT formation energy: -0.2756 eV/atom
DOS(E_F): 7.8 states/eV/cell
Energy relative to the lowest polymorph listed for this composition: 0 meV per atom

=====

La2AlIr | PBE | optimized geometry

Lattice parameters (Å, degrees): 4.393 5.325 8.680 90.00 90.00 90.00
Space group Immm (No. 71)
Unique sites:
La (0.000, 0.000, 0.215) [4 per cell]
Al (0.000, 0.500, 0.000) [2 per cell]
Ir (0.000, 0.500, 0.500) [2 per cell]

Properties
DFT formation energy: -0.4029 eV/atom
DOS(E_F): 3.8 states/eV/cell

=====

La4AlIr | PBE | optimized geometry

Lattice parameters (Å, degrees): 14.147 14.147 14.147 90.00 90.00 90.00
Space group F-43m (No. 216)
Unique sites:
La (0.000, 0.000, 0.188) [24 per cell]
La (0.053, 0.250, 0.750) [24 per cell]
La (0.100, 0.100, 0.400) [16 per cell]
Al (0.177, 0.177, 0.177) [16 per cell]
Ir (0.110, 0.110, 0.610) [16 per cell]

Properties
DFT formation energy: -0.4623 eV/atom
DOS(E_F): 102.7 states/eV/cell
Energy relative to the lowest polymorph listed for this composition: 0 meV per atom

=====

La2AlIr | PBE | optimized geometry

Lattice parameters (Å, degrees): 8.306 8.306 6.328 90.00 90.00 90.00
Space group I-42d (No. 122)
Unique sites:
La (0.196, 0.750, 0.125) [8 per cell]
Al (0.000, 0.000, 0.500) [4 per cell]
Ir (0.000, 0.000, 0.000) [4 per cell]

Properties
DFT formation energy: -0.2139 eV/atom
DOS(E_F): 9.4 states/eV/cell

=====

LaAl2Ir | PBE | optimized geometry

Lattice parameters (Å, degrees): 15.572 7.131 5.941 90.00 90.00 90.00
Space group Pnma (No. 62)
Unique sites:
La (0.098, 0.250, 0.233) [4 per cell]
La (0.137, 0.750, 0.032) [4 per cell]
Al (0.048, 0.063, 0.714) [8 per cell]
Al (0.208, 0.556, 0.546) [8 per cell]
Ir (0.068, 0.750, 0.505) [4 per cell]
Ir (0.191, 0.250, 0.782) [4 per cell]

Properties
DFT formation energy: -0.7892 eV/atom
DOS(E_F): 18.3 states/eV/cell